Entry from Alexandria via LeMat-Bulk: a relaxed structure of DyMg4Hg5 (PBE-GGA).

## Properties
* final energy: -1.535 eV per atom
* calculated formation energy: -27.6 kJ/mol of atoms
* calculated volume: 222 Å³/cell

a = 3.5900 Å, b = 3.5900 Å, c = 17.2242 Å
α = 90.00°, β = 90.00°, γ = 90.00°
Closest atoms and distances in Å follow each position.
Space group P4/mmm (No. 123)
Symmetry-distinct sites (fractional):
1 Dy 0.0000 0.0000 0.0000 [1 per cell]  8 Hg 3.18
2 Mg 0.0000 0.0000 0.2092 [2 per cell]  8 Hg 3.03-3.04, 1 Mg 3.34
3 Mg 0.0000 0.0000 0.4032 [2 per cell]  8 Hg 3.04, 2 Mg 3.33-3.34
4 Hg 0.5000 0.5000 0.1116 [2 per cell]  4 Mg 3.04, 4 Dy 3.18, 1 Hg 3.34
5 Hg 0.5000 0.5000 0.3058 [2 per cell]  8 Mg 3.03-3.04, 2 Hg 3.34-3.35
6 Hg 0.5000 0.5000 0.5000 [1 per cell]  8 Mg 3.04, 2 Hg 3.35



Entry from Alexandria via LeMat-Bulk: a relaxed structure of Dy2Er7Tm3 (PBE-GGA).

## Properties
* final energy: -4.221 eV per atom
* calculated formation energy: 31.4 kJ/mol of atoms
* calculated volume: 392 Å³/cell

a = 6.1128 Å, b = 5.4122 Å, c = 11.8624 Å
α = 90.00°, β = 91.49°, γ = 90.00°
Closest atoms and distances in Å follow each position.
Space group P2/m (No. 10)
Symmetry-distinct sites (fractional):
1 Dy 0.1042 0.0000 0.2788 [2 per cell]  6 Er 3.11-3.40, 1 Tm 3.35
2 Er 0.0636 0.5000 0.8218 [2 per cell]  2 Dy 3.12, 3 Er 3.36-3.45, 2 Tm 3.46
3 Er 0.2654 0.0000 0.5458 [2 per cell]  2 Er 3.09-3.39, 2 Dy 3.11-3.29
4 Er 0.4132 0.0000 0.8325 [2 per cell]  3 Tm 3.25-3.51, 2 Dy 3.26-3.40, 5 Er 3.39-3.50
5 Er 0.5000 0.5000 0.0000 [1 per cell]  6 Er 3.36-3.39
6 Tm 0.0000 0.0000 0.0000 [1 per cell]  6 Er 3.25-3.46, 2 Dy 3.35
7 Tm 0.4478 0.5000 0.3397 [2 per cell]  8 Er 3.48-3.83, 2 Dy 3.49, 1 Tm 3.84



Entry from Alexandria via LeMat-Bulk: a relaxed structure of MgPt2S (PBE-GGA).

## Properties
* final energy: -4.513 eV per atom
* raw formation energy: -62.4 meV/atom
* calculated volume: 252 Å³/cell

a = 6.3202 Å, b = 6.3202 Å, c = 6.3202 Å
α = 90.00°, β = 90.00°, γ = 90.00°
Closest atoms and distances in Å follow each position.
Space group Fm-3m (No. 225)
Symmetry-distinct sites (fractional):
1 Mg 0.0000 0.0000 0.0000 [4 per cell]  8 Pt 2.74
2 Pt 0.2500 0.2500 0.2500 [8 per cell]  4 S 2.74, 4 Mg 2.74
3 S 0.0000 0.0000 0.5000 [4 per cell]  8 Pt 2.74



Entry from Alexandria via LeMat-Bulk: a relaxed structure of Cd3Ni (PBE-GGA).

## Properties
* final energy: -2.115 eV per atom
* calculated formation energy: 1.6 kJ/mol of atoms
* calculated volume: 162 Å³/cell

a = 2.9341 Å, b = 4.5106 Å, c = 12.2499 Å
α = 90.00°, β = 90.00°, γ = 90.00°
Closest atoms and distances in Å follow each position.
Space group Immm (No. 71)
Symmetry-distinct sites (fractional):
1 Cd 0.0000 0.0000 0.0000 [2 per cell]  4 Ni 2.69, 2 Cd 2.93
2 Cd 0.0000 0.5000 0.1850 [4 per cell]  2 Ni 2.70, 2 Cd 2.93
3 Ni 0.0000 0.0000 0.5000 [2 per cell]  8 Cd 2.69-2.70, 2 Ni 2.93



Entry from Alexandria via LeMat-Bulk: a relaxed structure of P3IrF (PBE-GGA).

## Properties
* final energy: -4.811 eV per atom
* raw formation energy: 581.8 meV/atom
* calculated volume: 100 Å³/cell

a = 4.6383 Å, b = 4.6383 Å, c = 4.6383 Å
α = 90.00°, β = 90.00°, γ = 90.00°
Closest atoms and distances in Å follow each position.
Space group Pm-3m (No. 221)
Symmetry-distinct sites (fractional):
1 P 0.0000 0.0000 0.5000 [3 per cell]  2 Ir 2.32
2 Ir 0.0000 0.0000 0.0000 [1 per cell]  6 P 2.32
3 F 0.5000 0.5000 0.5000 [1 per cell]  12 P 3.28



Entry from Alexandria via LeMat-Bulk: a relaxed structure of Al2TeBr (PBE-GGA).

## Properties
* final energy: -3.305 eV per atom
* raw formation energy: -229.6 meV/atom
* calculated volume: 253 Å³/cell

a = 11.6771 Å, b = 3.7683 Å, c = 5.8548 Å
α = 90.00°, β = 101.16°, γ = 90.00°
Closest atoms and distances in Å follow each position.
Space group Cm (No. 8)
Symmetry-distinct sites (fractional):
1 Al 0.0000 0.0000 0.0000 [2 per cell]  1 Br 2.40
2 Al 0.1580 0.5000 0.8786 [2 per cell]  2 Te 2.78, 2 Al 2.82
3 Te 0.3275 0.0000 0.8329 [2 per cell]  4 Al 2.78-2.79
4 Br 0.0346 0.0000 0.4168 [2 per cell]  1 Al 2.40



Which formula does entry 5 have?
P3IrF